B3W2: relaxed, PBE.

Calculated values
DFT total energy: -9.49 eV per atom
Calculated formation energy: -0.30 eV/atom
Space-group type: Imm2 (44)
Magnetization: 0.0 μB per cell
Energy above the most stable polymorph in this dataset: 0.0 meV per atom

```
10
Lattice="3.047 0.000 0.000 0.000 3.106 0.000 0.000 0.000 10.423" Properties=species:S:1:pos:R:3 pbc="T T T"
B 0.000 0.000 0.000
B 0.000 0.000 1.786
B 0.000 1.553 4.260
B 1.523 0.000 9.472
B 1.523 1.553 5.211
B 1.523 1.553 6.997
W 0.000 0.000 6.125
W 0.000 1.553 8.670
W 1.523 0.000 3.458
W 1.523 1.553 0.914
```

BW2: relaxed, PBE.

Calculated values
DFT total energy: -11.13 eV per atom
Calculated formation energy: -0.27 eV/atom
Space-group type: I4/mcm (140)
Magnetization: 0.0 μB per cell

```
12
Lattice="5.582 0.000 0.000 0.000 5.582 0.000 0.000 0.000 4.809" Properties=species:S:1:pos:R:3 pbc="T T T"
B 0.000 0.000 1.202
B 0.000 0.000 3.607
B 2.791 2.791 1.202
B 2.791 2.791 3.607
W 0.948 1.844 0.000
W 0.948 3.739 2.405
W 1.844 0.948 2.405
W 1.844 4.635 0.000
W 3.739 0.948 0.000
W 3.739 4.635 2.405
W 4.635 1.844 2.405
W 4.635 3.739 0.000
```

B2W: relaxed, PBE.

Calculated values
DFT total energy: -8.26 eV per atom
Calculated formation energy: 0.51 eV/atom
Space-group type: I4/mmm (139)
Magnetization: 0.0 μB per cell

```
6
Lattice="2.766 0.000 0.000 0.000 2.766 0.000 0.000 0.000 7.499" Properties=species:S:1:pos:R:3 pbc="T T T"
B 0.000 0.000 1.489
B 0.000 0.000 6.010
B 1.383 1.383 2.260
B 1.383 1.383 5.239
W 0.000 0.000 3.749
W 1.383 1.383 0.000
```

B4W: relaxed, PBE.

Calculated values
DFT total energy: -7.53 eV per atom
Calculated formation energy: 0.40 eV/atom
Space-group type: P6_3/mmc (194)
Magnetization: 0.0 μB per cell
Energy above the most stable polymorph in this dataset: 0.0 meV per atom

```
20
Lattice="5.350 0.000 0.000 -2.675 4.634 0.000 0.000 0.000 6.512" Properties=species:S:1:pos:R:3 pbc="T T T"
B -0.902 1.562 0.000
B -0.902 1.562 3.256
B -1.773 3.072 0.000
B -1.773 3.072 3.256
B 0.000 3.089 0.774
B 0.000 3.089 2.482
B 1.804 0.000 0.000
B 1.804 0.000 3.256
B 0.902 1.562 0.000
B 0.902 1.562 3.256
B 3.547 0.000 0.000
B 3.547 0.000 3.256
B 1.773 3.072 0.000
B 1.773 3.072 3.256
B 2.675 1.545 4.030
B 2.675 1.545 5.738
W 0.000 0.000 1.628
W 0.000 0.000 4.884
W 0.000 3.089 4.884
W 2.675 1.545 1.628
```

B2W: relaxed, PBE.

Calculated values
DFT total energy: -8.85 eV per atom
Calculated formation energy: -0.08 eV/atom
Space-group type: P6/mmm (191)
Magnetization: 0.0 μB per cell

```
3
Lattice="3.025 0.000 0.000 -1.513 2.620 0.000 0.000 0.000 3.373" Properties=species:S:1:pos:R:3 pbc="T T T"
B 0.000 1.747 0.000
B 1.513 0.873 0.000
W 0.000 0.000 1.686
```

B2W: relaxed, PBE.

Calculated values
DFT total energy: -9.14 eV per atom
Calculated formation energy: -0.37 eV/atom
Space-group type: P6_3/mmc (194)
Magnetization: 0.0 μB per cell

```
12
Lattice="3.019 0.000 0.000 -1.509 2.615 0.000 0.000 0.000 14.084" Properties=species:S:1:pos:R:3 pbc="T T T"
B 0.000 0.000 3.521
B 0.000 0.000 10.563
B 0.000 1.743 0.321
B 0.000 1.743 3.521
B 0.000 1.743 6.721
B 1.509 0.871 7.363
B 1.509 0.871 10.563
B 1.509 0.871 13.763
W 0.000 1.743 8.938
W 0.000 1.743 12.188
W 1.509 0.871 1.896
W 1.509 0.871 5.146
```

B3W2: relaxed, PBE.

Calculated values
DFT total energy: -9.17 eV per atom
Calculated formation energy: 0.02 eV/atom
Space-group type: Cmce (64)
Magnetization: 0.0 μB per cell
Energy above the most stable polymorph in this dataset: 315.9 meV per atom

```
10
Lattice="2.479 -3.631 0.000 2.479 3.631 0.000 0.000 0.000 5.393" Properties=species:S:1:pos:R:3 pbc="T T T"
B 0.000 0.000 0.000
B 1.239 0.584 1.348
B 1.239 -0.584 4.045
B 2.479 0.000 2.697
B 3.718 0.584 1.348
B 3.718 -0.584 4.045
W 2.479 2.369 2.149
W 2.479 1.262 4.845
W 2.479 -1.262 0.548
W 2.479 -2.369 3.245
```

B2W3: relaxed, PBE.

Calculated values
DFT total energy: -10.66 eV per atom
Calculated formation energy: -0.22 eV/atom
Space-group type: Immm (71)
Magnetization: 0.0 μB per cell

```
10
Lattice="3.125 0.000 0.000 0.000 4.947 0.000 0.000 0.000 7.693" Properties=species:S:1:pos:R:3 pbc="T T T"
B 0.000 0.868 0.000
B 0.000 4.078 0.000
B 1.563 1.605 3.847
B 1.563 3.341 3.847
W 0.000 0.000 3.847
W 0.000 2.473 2.324
W 0.000 2.473 5.369
W 1.563 0.000 1.522
W 1.563 0.000 6.171
W 1.563 2.473 0.000
```